1.
Compound: CoGeTeI2
Source: Alexandria
Functional: GGA-PBE
Structure: optimized geometry

Computed properties:
Energy relative to the lowest polymorph listed for this composition (kJ/mol of formula units): 191
Fermi-level density of states (states/eV per atom): 2.480
V (Å³/cell): 178
Uncorrected formation energy (eV per atom): 0.844

abc: 5.648 5.648 5.565
angles: 90.00 90.00 90.00
Fractional coordinates of all 5 atoms:
Co  0.000  0.000  0.000
Ge  0.500  0.500  0.500
Te  0.500  0.500  0.000
I  0.000  0.500  0.500
I  0.500  0.000  0.500



2.
Compound: CoGeTe2I
Source: Alexandria
Functional: GGA-PBE
Structure: optimized geometry

Computed properties:
Energy relative to the lowest polymorph listed for this composition (kJ/mol of formula units): 243
Fermi-level density of states (states/eV per atom): 1.465
V (Å³/cell): 165
Uncorrected formation energy (eV per atom): 0.956

abc: 5.429 5.429 5.609
angles: 90.00 90.00 90.00
Fractional coordinates of all 5 atoms:
Co  0.000  0.000  0.000
Ge  0.500  0.500  0.500
Te  0.000  0.500  0.500
Te  0.500  0.000  0.500
I  0.500  0.500  0.000



3.
Compound: CoGeTeI2
Source: Alexandria
Functional: GGA-PBE
Structure: optimized geometry

Computed properties:
Energy relative to the lowest polymorph listed for this composition (kJ/mol of formula units): 0
Fermi-level density of states (states/eV per atom): 1.026
V (Å³/cell): 138
Uncorrected formation energy (eV per atom): 0.449

abc: 5.235 5.235 5.051
angles: 90.00 90.00 90.00
Fractional coordinates of all 5 atoms:
Co  0.000  0.000  0.000
Ge  0.500  0.500  0.500
Te  0.000  0.000  0.500
I  0.000  0.500  0.000
I  0.500  0.000  0.000